A plane-wave DFT calculation with PBE-GGA was carried out for an optimized crystal structure of K2TaCoHg.

Cell: 6.2664 4.9349 6.2664 Å, 90.00 90.00 90.00°
Each line ends with the local moment (μB).
Positions (direct):
K1 0.5000 0.0000 0.0000  0.01
K2 0.0000 0.0000 0.5000  0.01
Co1 0.0000 0.5000 0.0000  1.78
Hg1 0.0000 0.0000 0.0000  -0.04
Ta1 0.5000 0.5000 0.5000  2.26

The formation energy is 8.539 eV per formula unit. Its size of the total moment is 5.38 μB/f.u. The value obtained for the raw total energy is -0.190 Ry per atom.

***

A plane-wave DFT calculation with PBE-GGA was carried out for an optimized crystal structure of ZrMn2V.

Cell: 3.0640 4.3040 4.3040 Å, 90.00 90.00 90.00°
Each line ends with the local moment (μB).
Positions (direct):
Mn1 0.0000 0.5000 0.0000  0.88
Mn2 0.0000 0.0000 0.5000  0.88
Zr1 0.5000 0.5000 0.5000  -0.21
V1 0.5000 0.0000 0.0000  -0.88

The formation energy is -0.077 eV per formula unit. Its size of the total moment is 0.53 μB/f.u. As for the energy relative to the lowest polymorph listed for this composition: 0.22 eV per formula unit. The value obtained for the raw total energy is -0.663 Ry per atom.

***

A plane-wave DFT calculation with PBE-GGA was carried out for an optimized crystal structure of LuPuPaPb.

Cell: 5.2793 5.2793 5.2793 Å, 60.00 60.00 60.00°
Each line ends with the local moment (μB).
Positions (direct):
Pu1 0.0000 0.0000 0.0000  5.45
Pb1 0.2500 0.2500 0.2500  -0.01
Pa1 0.7500 0.7500 0.7500  1.17
Lu1 0.5000 0.5000 0.5000  0.09

The formation energy is 0.531 eV per formula unit. Its size of the total moment is 7.36 μB/f.u. The value obtained for the raw total energy is -0.579 Ry per atom.

***

A plane-wave DFT calculation with PBE-GGA was carried out for an optimized crystal structure of Cd2PtW.

Cell: 5.0222 5.0222 2.8550 Å, 90.00 90.00 90.00°
Positions (direct):
W1 0.0000 0.5000 0.5000
Cd1 0.0000 0.0000 0.0000
Cd2 0.5000 0.5000 0.0000
Pt1 0.5000 0.0000 0.5000

The formation energy is 2.017 eV per formula unit. Its size of the total moment is 0.00 μB/f.u. As for the energy relative to the lowest polymorph listed for this composition: 1.84 eV per formula unit. The value obtained for the raw total energy is -0.346 Ry per atom.

***

A plane-wave DFT calculation with PBE-GGA was carried out for an optimized crystal structure of Cr2CuHPd.

Cell: 3.6157 3.6157 4.0533 Å, 90.00 90.00 90.00°
Each line ends with the local moment (μB).
Positions (direct):
Cu1 0.0000 0.0000 0.5000  0.01
H1 0.0000 0.0000 0.0000  0.00
Pd1 0.5000 0.5000 0.5000  0.04
Cr1 0.5000 0.0000 0.0000  0.22
Cr2 0.0000 0.5000 0.0000  0.22

Its size of the total moment is 0.49 μB/f.u. The value obtained for the raw total energy is -0.454 Ry per atom.

***

A plane-wave DFT calculation with PBE-GGA was carried out for an optimized crystal structure of CaTlCd2.

Cell: 9.7058 9.7058 9.7058 Å, 22.15 22.15 22.15°
Positions (direct):
Cd1 0.9944 0.9944 0.9944
Cd2 0.2527 0.2527 0.2527
Tl1 0.5056 0.5056 0.5056
Ca1 0.7473 0.7473 0.7473

The formation energy is -0.342 eV per formula unit. Its size of the total moment is 0.00 μB/f.u. As for the energy relative to the lowest polymorph listed for this composition: 0.61 eV per formula unit. The value obtained for the raw total energy is -0.120 Ry per atom.

***

What did the fourth record say?
A plane-wave DFT calculation with PBE-GGA was carried out for an optimized crystal structure of Cd2PtW.

Cell: 5.0222 5.0222 2.8550 Å, 90.00 90.00 90.00°
Positions (direct):
W1 0.0000 0.5000 0.5000
Cd1 0.0000 0.0000 0.0000
Cd2 0.5000 0.5000 0.0000
Pt1 0.5000 0.0000 0.5000

The formation energy is 2.017 eV per formula unit. Its size of the total moment is 0.00 μB/f.u. As for the energy relative to the lowest polymorph listed for this composition: 1.84 eV per formula unit. The value obtained for the raw total energy is -0.346 Ry per atom.

***

Which formula does entry 3 have?
LuPuPaPb